# TaNi

An optimized crystal structure of TaNi (PBE, OQMD via LeMat-Bulk).

a b c (Å): 5.3133 5.3133 15.2913
angles (deg): 90.00 90.00 120.00
Positions (direct):
Ni (0.0000, 0.0000, 0.0846)
Ni (0.3333, 0.6667, 0.1258)
Ni (0.6667, 0.3333, 0.1649)
Ni (0.6667, 0.3333, 0.3351)
Ni (0.3333, 0.6667, 0.3742)
Ni (0.0000, 0.0000, 0.4154)
Ni (0.0000, 0.0000, 0.5846)
Ni (0.6667, 0.3333, 0.6258)
Ni (0.3333, 0.6667, 0.6649)
Ni (0.3333, 0.6667, 0.8351)
Ni (0.6667, 0.3333, 0.8742)
Ni (0.0000, 0.0000, 0.9154)
Ta (0.5000, 0.0000, 0.0000)
Ta (0.0000, 0.5000, 0.0000)
Ta (0.5000, 0.5000, 0.0000)
Ta (0.1623, 0.3246, 0.2500)
Ta (0.1623, 0.8377, 0.2500)
Ta (0.6754, 0.8377, 0.2500)
Ta (0.5000, 0.0000, 0.5000)
Ta (0.0000, 0.5000, 0.5000)
Ta (0.5000, 0.5000, 0.5000)
Ta (0.3246, 0.1623, 0.7500)
Ta (0.8377, 0.1623, 0.7500)
Ta (0.8377, 0.6754, 0.7500)

**Energy relative to the elements**: 0.316 eV/atom
**SG**: No. 194
**Total magnetic moment**: 0.0 μB/cell
**Total DFT energy (no corrections)**: -201.46 eV per cell